Entry i
{
  "formula": "Ho5Er3Tm2",
  "functional": "PBE",
  "state": "optimized geometry",
  "space_group": "Ibam",
  "lattice_angstrom": [[6.1791, 0.0000, 0.0000], [3.0895, 10.1061, -2.8447], [3.0895, -0.0609, 10.4986]],
  "species": ["Ho", "Ho", "Ho", "Ho", "Ho", "Ho", "Ho", "Ho", "Ho", "Ho", "Er", "Er", "Er", "Er", "Er", "Er", "Tm", "Tm", "Tm", "Tm"],
  "fractional_positions": [[0.2500, 0.5000, 0.5000], [0.7500, 0.5000, 0.5000], [0.4992, 0.7508, 0.7508], [0.0008, 0.2492, 0.2492], [0.5008, 0.2492, 0.2492], [0.9992, 0.7508, 0.7508], [0.0995, 0.5573, 0.2437], [0.9005, 0.4427, 0.7563], [0.5995, 0.2437, 0.5573], [0.4005, 0.7563, 0.4427], [0.2500, 0.0000, 0.0000], [0.7500, 0.0000, 0.0000], [0.3403, 0.4103, 0.9092], [0.6597, 0.5897, 0.0908], [0.8403, 0.9092, 0.4103], [0.1597, 0.0908, 0.5897], [0.0978, 0.7456, 0.0589], [0.9022, 0.2544, 0.9411], [0.5978, 0.0589, 0.7456], [0.4022, 0.9411, 0.2544]]
}

=====

Entry ii
{
  "formula": "Ho5Er3Tm2",
  "functional": "PBE",
  "state": "optimized geometry",
  "space_group": "C2/c",
  "lattice_angstrom": [[-6.4246, 3.8149, -5.6811], [8.6047, 0.5079, -3.6652], [-2.1425, -9.0312, 1.2503]],
  "species": ["Ho", "Ho", "Ho", "Ho", "Ho", "Ho", "Ho", "Ho", "Ho", "Ho", "Er", "Er", "Er", "Er", "Er", "Er", "Tm", "Tm", "Tm", "Tm"],
  "fractional_positions": [[0.2249, 0.4749, 0.9498], [0.7751, 0.5251, 0.0502], [0.9723, 0.7223, 0.4446], [0.4768, 0.2268, 0.4536], [0.0277, 0.2777, 0.5554], [0.5232, 0.7732, 0.5464], [0.8890, 0.6069, 0.7442], [0.1110, 0.3931, 0.2558], [0.3552, 0.1373, 0.7442], [0.6448, 0.8627, 0.2558], [0.2709, 0.0209, 0.0419], [0.7291, 0.9791, 0.9581], [0.5141, 0.4679, 0.2469], [0.4859, 0.5321, 0.7531], [0.2328, 0.7790, 0.2469], [0.7672, 0.2210, 0.7531], [0.9655, 0.0128, 0.7439], [0.0345, 0.9872, 0.2561], [0.2783, 0.7310, 0.7439], [0.7217, 0.2690, 0.2561]]
}

=====

Top of the stability list: entry ii, leading by 158 meV/atom.

=====

Entry i
{
  "formula": "HoEr4Tm6",
  "functional": "PBE",
  "state": "optimized geometry",
  "space_group": "Cmcm",
  "lattice_angstrom": [[-2.5735, -4.6239, 1.6477], [5.4313, 0.5810, 0.7921], [-4.4150, 10.5002, 22.5708]],
  "species": ["Ho", "Ho", "Er", "Er", "Er", "Er", "Er", "Er", "Er", "Er", "Tm", "Tm", "Tm", "Tm", "Tm", "Tm", "Tm", "Tm", "Tm", "Tm", "Tm", "Tm"],
  "fractional_positions": [[0.8294, 0.6588, 0.2500], [0.1706, 0.3412, 0.7500], [0.8352, 0.6703, 0.5419], [0.4938, 0.9875, 0.1215], [0.1648, 0.3297, 0.4581], [0.5062, 0.0125, 0.8785], [0.8352, 0.6703, 0.9581], [0.1648, 0.3297, 0.0419], [0.5062, 0.0125, 0.6215], [0.4938, 0.9875, 0.3785], [0.5000, 0.0000, 0.0000], [0.5000, 0.0000, 0.5000], [0.1617, 0.3234, 0.3184], [0.8383, 0.6766, 0.6816], [0.8383, 0.6766, 0.8184], [0.1617, 0.3234, 0.1816], [0.8282, 0.6564, 0.3965], [0.1718, 0.3436, 0.6035], [0.1718, 0.3436, 0.8965], [0.8282, 0.6564, 0.1035], [0.4958, 0.9915, 0.2500], [0.5042, 0.0085, 0.7500]]
}

=====

Entry ii
{
  "formula": "HoEr4Tm6",
  "functional": "PBE",
  "state": "optimized geometry",
  "space_group": "I-42m",
  "lattice_angstrom": [[-3.4527, 3.9037, -3.7915], [-0.6049, -4.7378, -4.3270], [-5.0397, -2.1476, 7.8556]],
  "species": ["Ho", "Er", "Er", "Er", "Er", "Tm", "Tm", "Tm", "Tm", "Tm", "Tm"],
  "fractional_positions": [[0.5000, 0.5000, 0.0000], [0.0464, 0.6869, 0.7333], [0.9536, 0.9536, 0.2667], [0.6869, 0.0464, 0.7333], [0.3131, 0.3131, 0.2667], [0.8567, 0.4856, 0.3423], [0.4856, 0.8567, 0.3423], [0.5144, 0.5144, 0.6577], [0.0000, 0.5000, 0.0000], [0.1433, 0.1433, 0.6577], [0.5000, 0.0000, 0.0000]]
}

=====

Top of the stability list: entry i, leading by 181 meV/atom.

=====

Entry i
{
  "formula": "Ho7Er3Tm2",
  "functional": "PBE",
  "state": "optimized geometry",
  "space_group": "P2/m",
  "lattice_angstrom": [[3.5255, 0.0000, 0.0000], [0.0000, 5.6972, 0.2481], [0.0000, -1.9307, 18.3130]],
  "species": ["Ho", "Ho", "Ho", "Ho", "Ho", "Ho", "Ho", "Er", "Er", "Er", "Tm", "Tm"],
  "fractional_positions": [[0.5000, 0.7422, 0.4636], [0.5000, 0.2578, 0.5364], [0.0000, 0.6816, 0.1439], [0.0000, 0.0000, 0.0000], [0.0000, 0.3184, 0.8561], [0.5000, 0.8156, 0.8201], [0.5000, 0.1844, 0.1799], [0.5000, 0.5000, 0.0000], [0.0000, 0.2190, 0.3675], [0.0000, 0.7810, 0.6325], [0.5000, 0.7062, 0.2949], [0.5000, 0.2938, 0.7051]]
}

=====

Entry ii
{
  "formula": "Ho7Er3Tm2",
  "functional": "PBE",
  "state": "optimized geometry",
  "space_group": "P2/m",
  "lattice_angstrom": [[-3.2431, -0.8799, 0.9728], [-0.7992, -3.0494, -5.4227], [5.9688, -14.1334, 7.1146]],
  "species": ["Ho", "Ho", "Ho", "Ho", "Ho", "Ho", "Ho", "Er", "Er", "Er", "Tm", "Tm"],
  "fractional_positions": [[0.5000, 0.2447, 0.4979], [0.5000, 0.7553, 0.5021], [0.0000, 0.6755, 0.1661], [0.0000, 0.0000, 0.0000], [0.0000, 0.3245, 0.8339], [0.5000, 0.8257, 0.8318], [0.5000, 0.1743, 0.1682], [0.5000, 0.5000, 0.0000], [0.0000, 0.0027, 0.3421], [0.0000, 0.9973, 0.6579], [0.5000, 0.5079, 0.3263], [0.5000, 0.4921, 0.6737]]
}

=====

Top of the stability list: entry ii, leading by 22 meV/atom.

=====

Entry i
{
  "formula": "Ho2Er5Tm",
  "functional": "PBE",
  "state": "optimized geometry",
  "space_group": "C2/c",
  "lattice_angstrom": [[0.0298, 6.4638, -0.9041], [-2.8348, -4.2683, -7.0499], [-8.7579, -4.9847, 3.9806]],
  "species": ["Ho", "Ho", "Ho", "Ho", "Er", "Er", "Er", "Er", "Er", "Er", "Er", "Er", "Er", "Er", "Tm", "Tm"],
  "fractional_positions": [[0.8284, 0.6290, 0.4260], [0.8006, 0.6290, 0.0740], [0.1716, 0.3710, 0.5740], [0.1994, 0.3710, 0.9260], [0.8687, 0.9810, 0.8394], [0.1124, 0.9810, 0.6606], [0.4247, 0.7922, 0.4467], [0.3675, 0.7922, 0.0533], [0.6450, 0.2900, 0.2500], [0.3550, 0.7100, 0.7500], [0.5753, 0.2078, 0.5533], [0.6325, 0.2078, 0.9467], [0.1313, 0.0190, 0.1606], [0.8876, 0.0190, 0.3394], [0.7925, 0.5850, 0.7500], [0.2075, 0.4150, 0.2500]]
}

=====

Entry ii
{
  "formula": "Ho2Er5Tm",
  "functional": "PBE",
  "state": "optimized geometry",
  "space_group": "Pbam",
  "lattice_angstrom": [[-2.9282, 0.1714, -3.9808], [-2.0296, -6.5864, 1.2093], [-10.5210, 4.7001, 7.9415]],
  "species": ["Ho", "Ho", "Ho", "Ho", "Er", "Er", "Er", "Er", "Er", "Er", "Er", "Er", "Er", "Er", "Tm", "Tm"],
  "fractional_positions": [[0.5000, 0.2496, 0.6249], [0.5000, 0.7504, 0.3751], [0.5000, 0.2504, 0.1249], [0.5000, 0.7496, 0.8751], [0.0000, 0.0000, 0.0000], [0.0000, 0.5000, 0.5000], [0.0000, 0.4993, 0.7501], [0.0000, 0.5007, 0.2499], [0.0000, 0.0007, 0.2501], [0.0000, 0.9993, 0.7499], [0.5000, 0.2496, 0.8751], [0.5000, 0.7504, 0.1249], [0.5000, 0.2504, 0.3751], [0.5000, 0.7496, 0.6249], [0.0000, 0.0000, 0.5000], [0.0000, 0.5000, 0.0000]]
}

=====

Top of the stability list: entry ii, leading by 128 meV/atom.

=====

Entry i
{
  "formula": "Ho4Er2Tm5",
  "functional": "PBE",
  "state": "optimized geometry",
  "space_group": "C2/m",
  "lattice_angstrom": [[-0.0208, 2.2352, -2.6082], [3.8226, -5.7837, -4.9869], [-11.0084, -4.1155, -1.1772]],
  "species": ["Ho", "Ho", "Ho", "Ho", "Er", "Er", "Tm", "Tm", "Tm", "Tm", "Tm"],
  "fractional_positions": [[0.6769, 0.4726, 0.3537], [0.9544, 0.6405, 0.9087], [0.3231, 0.5274, 0.6463], [0.0456, 0.3595, 0.0913], [0.0915, 0.7417, 0.1830], [0.9085, 0.2583, 0.8170], [0.2323, 0.8257, 0.4646], [0.7677, 0.1743, 0.5354], [0.1410, 0.1194, 0.2820], [0.5000, 0.0000, 0.0000], [0.8590, 0.8806, 0.7180]]
}

=====

Entry ii
{
  "formula": "Ho4Er2Tm5",
  "functional": "PBE",
  "state": "optimized geometry",
  "space_group": "C2/m",
  "lattice_angstrom": [[5.4744, 0.0000, -0.9853], [-1.2605, 5.7710, -7.0031], [1.1604, -9.2899, 22.1474]],
  "species": ["Ho", "Ho", "Ho", "Ho", "Er", "Er", "Tm", "Tm", "Tm", "Tm", "Tm"],
  "fractional_positions": [[0.3150, 0.3778, 0.6301], [0.9495, 0.0001, 0.8990], [0.6850, 0.6222, 0.3699], [0.0505, 0.9999, 0.1010], [0.4084, 0.2048, 0.8168], [0.5916, 0.7952, 0.1832], [0.8432, 0.1209, 0.6864], [0.1568, 0.8791, 0.3136], [0.7863, 0.4723, 0.5726], [0.5000, 0.0000, 0.0000], [0.2137, 0.5277, 0.4274]]
}

=====

Top of the stability list: entry ii, leading by 58 meV/atom.

=====

Entry i
{
  "formula": "Ho2Er3Tm6",
  "functional": "PBE",
  "state": "optimized geometry",
  "space_group": "I4/mmm",
  "lattice_angstrom": [[4.6505, 0.0000, 0.0000], [0.0000, 4.6505, 0.0000], [-2.3253, -2.3253, 16.3331]],
  "species": ["Ho", "Ho", "Er", "Er", "Er", "Tm", "Tm", "Tm", "Tm", "Tm", "Tm"],
  "fractional_positions": [[0.4537, 0.4537, 0.9073], [0.5463, 0.5463, 0.0927], [0.0000, 0.0000, 0.0000], [0.7993, 0.7993, 0.5986], [0.2007, 0.2007, 0.4014], [0.1218, 0.6218, 0.2436], [0.6218, 0.1218, 0.2436], [0.8782, 0.3782, 0.7564], [0.3782, 0.8782, 0.7564], [0.6956, 0.6956, 0.3912], [0.3044, 0.3044, 0.6088]]
}

=====

Entry ii
{
  "formula": "Ho2Er3Tm6",
  "functional": "PBE",
  "state": "optimized geometry",
  "space_group": "R-3m",
  "lattice_angstrom": [[-3.8029, 0.9080, 2.1717], [-2.3177, -3.3036, 1.9279], [9.2404, 2.1065, 19.9058]],
  "species": ["Ho", "Ho", "Er", "Er", "Er", "Tm", "Tm", "Tm", "Tm", "Tm", "Tm"],
  "fractional_positions": [[0.5307, 0.5307, 0.4080], [0.4693, 0.4693, 0.5920], [0.0000, 0.0000, 0.0000], [0.7385, 0.7385, 0.7845], [0.2615, 0.2615, 0.2155], [0.8941, 0.8941, 0.3176], [0.1059, 0.1059, 0.6824], [0.8293, 0.8293, 0.5120], [0.1707, 0.1707, 0.4880], [0.6306, 0.6306, 0.1082], [0.3694, 0.3694, 0.8918]]
}

=====

Top of the stability list: entry i, leading by 527 meV/atom.

=====

Entry i
{
  "formula": "Ho5ErTm5",
  "functional": "PBE",
  "state": "optimized geometry",
  "space_group": "C2/m",
  "lattice_angstrom": [[5.8297, 0.0000, 0.0000], [-2.9149, 9.2993, 0.3716], [0.0000, -2.7453, 6.2630]],
  "species": ["Ho", "Ho", "Ho", "Ho", "Ho", "Er", "Tm", "Tm", "Tm", "Tm", "Tm"],
  "fractional_positions": [[0.8214, 0.6429, 0.0666], [0.8215, 0.6429, 0.5755], [0.5000, 0.0000, 0.0000], [0.1785, 0.3571, 0.4245], [0.1786, 0.3571, 0.9334], [0.0000, 0.0000, 0.0000], [0.6689, 0.3377, 0.1698], [0.6234, 0.2467, 0.6246], [0.0000, 0.0000, 0.5000], [0.3766, 0.7533, 0.3754], [0.3311, 0.6623, 0.8302]]
}

=====

Entry ii
{
  "formula": "Ho5ErTm5",
  "functional": "PBE",
  "state": "optimized geometry",
  "space_group": "P-1",
  "lattice_angstrom": [[-5.4098, 3.9373, -1.5437], [1.3157, -8.3096, -4.0478], [-6.8098, 0.7562, 4.2324]],
  "species": ["Ho", "Ho", "Ho", "Ho", "Ho", "Er", "Tm", "Tm", "Tm", "Tm", "Tm"],
  "fractional_positions": [[0.8527, 0.6416, 0.1581], [0.7482, 0.6543, 0.6722], [0.5000, 0.0000, 0.0000], [0.2518, 0.3457, 0.3278], [0.1473, 0.3584, 0.8419], [0.0000, 0.0000, 0.0000], [0.6796, 0.2788, 0.3520], [0.6596, 0.3156, 0.7936], [0.0000, 0.0000, 0.5000], [0.3404, 0.6844, 0.2064], [0.3204, 0.7212, 0.6480]]
}

=====

Top of the stability list: entry ii, leading by 143 meV/atom.

=====

Entry i
{
  "formula": "Ho3Er5Tm",
  "functional": "PBE",
  "state": "optimized geometry",
  "space_group": "C2/c",
  "lattice_angstrom": [[9.7416, 0.0000, 0.0000], [-4.8708, 5.1538, -2.9170], [0.0000, 0.0254, 11.3530]],
  "species": ["Ho", "Ho", "Ho", "Ho", "Ho", "Ho", "Er", "Er", "Er", "Er", "Er", "Er", "Er", "Er", "Er", "Er", "Tm", "Tm"],
  "fractional_positions": [[0.0000, 0.0000, 0.0000], [0.6669, 0.3332, 0.3332], [0.0000, 0.0000, 0.5000], [0.3331, 0.6668, 0.6668], [0.6663, 0.3332, 0.8332], [0.3337, 0.6668, 0.1668], [0.1886, 0.0000, 0.7500], [0.5230, 0.6676, 0.9171], [0.8573, 0.3346, 0.0837], [0.4770, 0.3324, 0.0829], [0.5228, 0.6654, 0.4163], [0.8114, 0.0000, 0.2500], [0.1447, 0.6676, 0.4171], [0.8553, 0.3324, 0.5829], [0.4772, 0.3346, 0.5837], [0.1427, 0.6654, 0.9163], [0.8098, 0.0000, 0.7500], [0.1902, 0.0000, 0.2500]]
}

=====

Entry ii
{
  "formula": "Ho3Er5Tm",
  "functional": "PBE",
  "state": "optimized geometry",
  "space_group": "C2/m",
  "lattice_angstrom": [[9.2236, -0.0776, 1.6305], [2.4504, 8.8925, 1.6305], [5.4225, 4.0945, 9.1813]],
  "species": ["Ho", "Ho", "Ho", "Ho", "Ho", "Ho", "Er", "Er", "Er", "Er", "Er", "Er", "Er", "Er", "Er", "Er", "Tm", "Tm"],
  "fractional_positions": [[0.6958, 0.6958, 0.8146], [0.6579, 0.6579, 0.3638], [0.0000, 0.0000, 0.0000], [0.0000, 0.0000, 0.5000], [0.3042, 0.3042, 0.1854], [0.3421, 0.3421, 0.6362], [0.8485, 0.3454, 0.2512], [0.2596, 0.7404, 0.0000], [0.8142, 0.8142, 0.9645], [0.4890, 0.4890, 0.2319], [0.5110, 0.5110, 0.7681], [0.1858, 0.1858, 0.0355], [0.3454, 0.8485, 0.2512], [0.7404, 0.2596, 0.0000], [0.1515, 0.6546, 0.7488], [0.6546, 0.1515, 0.7488], [0.1460, 0.1460, 0.6023], [0.8540, 0.8540, 0.3977]]
}

=====

Top of the stability list: entry i, leading by 338 meV/atom.